1.
# RbTl3Mo2O8

Crystalline RbTl3Mo2O8 at its relaxed geometry (PBE with a Hubbard U, Alexandria via LeMat-Bulk).

Summary:
VASP energy: -82.50 eV for the cell shown
Volume: 21.713 A^3/atom

a = 6.4074 Å, b = 6.4074 Å, c = 8.5498 Å
α = 90.00°, β = 90.00°, γ = 120.00°
Fractional positions:
Rb 0.0000 0.0000 0.0000
Tl 0.0000 0.0000 0.5000
Tl 0.3333 0.6667 0.1963
Tl 0.6667 0.3333 0.8037
Mo 0.3333 0.6667 0.6873
Mo 0.6667 0.3333 0.3127
O 0.1809 0.3617 0.7588
O 0.1809 0.8191 0.7588
O 0.3333 0.6667 0.4763
O 0.3617 0.1809 0.2412
O 0.6383 0.8191 0.7588
O 0.6667 0.3333 0.5237
O 0.8191 0.1809 0.2412
O 0.8191 0.6383 0.2412

***

2.
# Rb2TlMo2O6

Crystalline Rb2TlMo2O6 at its relaxed geometry (PBE with a Hubbard U, Alexandria via LeMat-Bulk).

Summary:
VASP energy: -63.20 eV for the cell shown
Volume: 24.478 A^3/atom

a = 8.0019 Å, b = 8.0019 Å, c = 8.0019 Å
α = 49.15°, β = 49.15°, γ = 49.15°
Fractional positions:
Rb 0.1965 0.1965 0.1965
Rb 0.8035 0.8035 0.8035
Tl 0.0000 0.0000 0.0000
Mo 0.4280 0.4280 0.4280
Mo 0.5720 0.5720 0.5720
O 0.2614 0.7297 0.7297
O 0.2703 0.2703 0.7386
O 0.2703 0.7386 0.2703
O 0.7297 0.2614 0.7297
O 0.7297 0.7297 0.2614
O 0.7386 0.2703 0.2703

***

3.
# Rb2TlMoO

Crystalline Rb2TlMoO at its relaxed geometry (PBE with a Hubbard U, Alexandria via LeMat-Bulk).

Summary:
VASP energy: -15.53 eV for the cell shown
Volume: 33.988 A^3/atom

a = 5.6854 Å, b = 5.6854 Å, c = 5.2574 Å
α = 90.00°, β = 90.00°, γ = 90.00°
Fractional positions:
Rb 0.0000 0.5000 0.0000
Rb 0.5000 0.0000 0.0000
Tl 0.0000 0.0000 0.5000
Mo 0.5000 0.5000 0.5000
O 0.0000 0.0000 0.0000

***

4.
# RbTl2MoO6

Crystalline RbTl2MoO6 at its relaxed geometry (PBE with a Hubbard U, Alexandria via LeMat-Bulk).

Summary:
VASP energy: -108.78 eV for the cell shown
Volume: 21.551 A^3/atom

a = 8.0897 Å, b = 8.0897 Å, c = 7.3597 Å
α = 106.76°, β = 106.76°, γ = 96.69°
Fractional positions:
Rb 0.1316 0.8684 0.7500
Rb 0.8684 0.1316 0.2500
Tl 0.3019 0.4293 0.8269
Tl 0.4293 0.3019 0.3269
Tl 0.5707 0.6981 0.6731
Tl 0.6981 0.5707 0.1731
Mo 0.1845 0.8155 0.2500
Mo 0.8155 0.1845 0.7500
O 0.0197 0.2085 0.6954
O 0.1700 0.6409 0.0274
O 0.2085 0.0197 0.1954
O 0.3172 0.4558 0.5423
O 0.3591 0.8300 0.4726
O 0.4558 0.3172 0.0423
O 0.5442 0.6828 0.9577
O 0.6409 0.1700 0.5274
O 0.6828 0.5442 0.4577
O 0.7915 0.9803 0.8046
O 0.8300 0.3591 0.9726
O 0.9803 0.7915 0.3046